VASP calculation (GGA-PBE) on a relaxed structure of KLaTc2O8.

For the raw total energy, the calculation gives -89.41 eV for the cell shown.

The space group is P-3 (No. 147) and the conventional cell measures 6.1042, 6.1042 and 7.7913 Å, with angles of 90.00, 90.00 and 120.00 degrees. The asymmetric unit holds K at (0.0000, 0.0000, 0.0000), La at (0.0000, 0.0000, 0.5000), Tc at (0.3333, 0.6667, 0.7773), O at (0.1718, 0.3467, 0.6977) and O at (0.3333, 0.6667, 0.0012).